Below is crystalline VMoNO2 at its relaxed geometry, with properties calculated at the PBE with a Hubbard U level.

Computed properties:
**ρ**: 5.2 g/cm3
**Total DFT energy (no corrections)**: -34.677 eV/cell
**Magnetic moment**: 0.776 μB/atom

Unit cell a=3.935 b=3.935 c=3.986 alpha=90.00 beta=90.00 gamma=90.00
Positions (direct):
V: 0.000 0.000 0.000
Mo: 0.500 0.500 0.500
N: 0.500 0.500 0.000
O: 0.000 0.500 0.500
O: 0.500 0.000 0.500